# 1
DFT (PBE) results for an optimized crystal structure of Ca5Cu.

a b c (Å): 10.826 4.346 9.152
angles (deg): 90.00 90.00 90.00
Space group Pmma (No. 51)
Unique sites:
Ca: 0.000 0.000 0.000 x2
Ca: 0.073 0.500 0.312 x4
Ca: 0.250 0.000 0.595 x2
Ca: 0.250 0.500 0.943 x2
Cu: 0.250 0.000 0.186 x2

E_form = -0.02 eV per atom

=====

# 2
DFT (PBE) results for an optimized crystal structure of MgPIr2.

a b c (Å): 7.007 7.007 5.385
angles (deg): 90.00 90.00 90.00
Space group I-42d (No. 122)
Unique sites:
Mg: 0.000 0.000 0.000 x4
P: 0.000 0.000 0.500 x4
Ir: 0.170 0.750 0.625 x8

E_form = -0.24 eV per atom

=====

# 3
DFT (PBE) results for an optimized crystal structure of AlBi.

a b c (Å): 7.949 7.949 7.949
angles (deg): 90.00 90.00 90.00
Space group Pm-3n (No. 223)
Unique sites:
Al: 0.000 0.250 0.500 x6
Bi: 0.000 0.500 0.250 x6

E_form = 0.21 eV per atom

=====

# 4
DFT (PBE) results for an optimized crystal structure of AlSb2Pb3Au6.

a b c (Å): 5.8764 5.8764 9.6524
angles (deg): 90.00 90.00 120.00
Space group P-3m1 (No. 164)
Unique sites:
Al: 0.0000 0.0000 0.0000 x1
Sb: 0.3333 0.6667 0.5500 x2
Pb: 0.0000 0.0000 0.5000 x1
Pb: 0.3333 0.6667 0.0845 x2
Au: 0.1670 0.3341 0.7906 x6

=====

# 5
DFT (PBE) results for an optimized crystal structure of Ca2TlCl.

a b c (Å): 3.674 3.674 10.315
angles (deg): 90.00 90.00 90.00
Space group P4mm (No. 99)
Unique sites:
Ca: 0.000 0.000 0.000 x1
Ca: 0.500 0.500 0.302 x1
Tl: 0.500 0.500 0.802 x1
Cl: 0.000 0.000 0.423 x1

=====

# 6
DFT (PBE) results for an optimized crystal structure of TbHo2Hg.

a b c (Å): 3.773 5.343 11.371
angles (deg): 90.00 90.00 90.00
Space group Immm (No. 71)
Unique sites:
Tb: 0.000 0.000 0.000 x2
Ho: 0.000 0.500 0.220 x4
Hg: 0.000 0.000 0.500 x2

E_form = -0.24 eV per atom

=====

# 7
DFT (PBE) results for an optimized crystal structure of TlIO3.

a b c (Å): 6.3764 6.3764 8.4208
angles (deg): 90.00 90.00 120.00
Space group R3m (No. 160, hexagonal axes)
Unique sites:
Tl: 0.0000 0.0000 0.0000 x3
I: 0.0000 0.0000 0.4825 x3
O: 0.1849 0.3698 0.2481 x9

=====

# 8
DFT (PBE) results for an optimized crystal structure of CsCrSe3.

a b c (Å): 8.465 14.691 5.923
angles (deg): 90.00 108.47 90.00
Space group C2/c (No. 15)
Unique sites:
Cs: 0.000 0.190 0.250 x4
Cr: 0.000 0.499 0.750 x4
Se: 0.000 0.071 0.750 x4
Se: 0.175 0.416 0.082 x8

=====

# 9
DFT (PBE) results for an optimized crystal structure of KGaGe.

a b c (Å): 8.148 4.700 7.580
angles (deg): 90.00 90.00 90.00
Space group Pnma (No. 62)
Unique sites:
K: 0.001 0.250 0.165 x4
Ga: 0.160 0.750 0.410 x4
Ge: 0.169 0.250 0.598 x4

E_form = -0.12 eV per atom

=====

# 10
DFT (PBE) results for an optimized crystal structure of ZrCrTc2.

a b c (Å): 3.114 3.114 6.414
angles (deg): 90.00 90.00 90.00
Space group P4/mmm (No. 123)
Unique sites:
Zr: 0.000 0.000 0.000 x1
Cr: 0.000 0.000 0.500 x1
Tc: 0.500 0.500 0.277 x2

E_form = -0.07 eV per atom

=====

# 11
DFT (PBE) results for an optimized crystal structure of CaTl2CdF6.

a b c (Å): 4.502 4.502 8.997
angles (deg): 90.00 90.00 90.00
Space group P4/mmm (No. 123)
Unique sites:
Ca: 0.000 0.000 0.000 x1
Tl: 0.500 0.500 0.253 x2
Cd: 0.000 0.000 0.500 x1
F: 0.000 0.000 0.251 x2
F: 0.000 0.500 0.000 x2
F: 0.000 0.500 0.500 x2

=====

# 12
DFT (PBE) results for an optimized crystal structure of Hf2TlCo.

a b c (Å): 7.417 7.417 5.989
angles (deg): 90.00 90.00 90.00
Space group I-42d (No. 122)
Unique sites:
Hf: 0.191 0.750 0.125 x8
Tl: 0.000 0.000 0.500 x4
Co: 0.000 0.000 0.000 x4

E_form = 0.23 eV per atom

=====

no.,total DFT energy (no corrections) (eV/cell),density of states at the Fermi level (states/eV/atom),calculated volume (Å³/cell)
1,-28.40,0.97,430.6
2,-102.78,0.73,264.4
3,-43.22,0.18,502.2
4,-43.60,0.54,288.7
5,-11.29,0.64,139.3
6,-30.06,0.91,229.2
7,-64.54,0.00,296.5
8,-93.61,0.47,698.7
9,-36.39,0.03,290.3
10,-39.18,0.62,62.2
11,-44.32,0.00,182.3
12,-113.78,0.18,329.4